Density functional theory data (PBE) for a relaxed Na2Sr2Ge crystal.

The structure in POSCAR format:
```
Na2Sr2Ge
1.0
7.840 0.000 0.000
0.000 7.840 0.000
0.000 0.000 5.457
Sr Ge Na
4 2 4
Cartesian
1.543 5.463 2.729 Sr
5.463 6.297 2.729 Sr
2.377 1.543 2.729 Sr
6.297 2.377 2.729 Sr
0.000 0.000 0.000 Ge
3.920 3.920 0.000 Ge
1.060 2.860 0.000 Na
6.780 4.980 0.000 Na
2.860 6.780 0.000 Na
4.980 1.060 0.000 Na
```

Properties
ΔE to the lowest computed polymorph = 0.0000 eV/atom
Formation energy from the elements = -0.1 kcal/mol of atoms
M_tot = 0.00 Bohr magnetons per cell



Density functional theory data (PBE) for a relaxed NaSrGe3 crystal.

The structure in POSCAR format:
```
NaSrGe3
1.0
5.135 0.000 0.000
0.000 5.135 0.000
0.000 0.000 5.135
Ge Na Sr
3 1 1
Cartesian
0.000 2.567 0.000 Ge
2.567 0.000 0.000 Ge
0.000 0.000 2.567 Ge
0.000 0.000 0.000 Na
2.567 2.567 2.567 Sr
```

Properties
ΔE to the lowest computed polymorph = 0.6809 eV/atom
Formation energy from the elements = 8.4 kcal/mol of atoms
M_tot = 0.00 Bohr magnetons per cell



Density functional theory data (PBE) for a relaxed Na2Sr2Ge crystal.

The structure in POSCAR format:
```
Na2Sr2Ge
1.0
8.310 0.000 0.000
0.000 8.310 0.000
0.000 0.000 6.315
Sr Na Ge
4 4 2
Cartesian
5.567 1.412 0.000 Sr
1.412 2.743 0.000 Sr
6.898 5.567 0.000 Sr
2.743 6.898 0.000 Sr
7.025 2.870 3.158 Na
2.870 1.285 3.158 Na
1.285 5.440 3.158 Na
5.440 7.025 3.158 Na
0.000 0.000 0.000 Ge
4.155 4.155 0.000 Ge
```

Properties
ΔE to the lowest computed polymorph = 0.0340 eV/atom
Formation energy from the elements = 0.7 kcal/mol of atoms
M_tot = 0.00 Bohr magnetons per cell



Density functional theory data (PBE) for a relaxed NaSr2Ge crystal.

The structure in POSCAR format:
```
NaSr2Ge
1.0
-3.429 -1.400 -1.402
1.610 -3.602 -0.340
-2.687 -2.011 8.581
Sr Na Ge
2 1 1
Cartesian
-0.512 -0.383 1.636 Sr
-2.175 -1.628 6.945 Sr
-2.253 -3.506 3.420 Na
-0.910 -2.501 -0.871 Ge
```

Properties
Formation energy from the elements = -6.2 kcal/mol of atoms
M_tot = 0.00 Bohr magnetons per cell



Density functional theory data (PBE) for a relaxed NaSr2Ge2 crystal.

The structure in POSCAR format:
```
NaSr2Ge2
1.0
-4.296 -4.462 0.143
0.789 -0.955 -6.071
1.378 -5.696 -2.087
Sr Ge Na
2 2 1
Cartesian
-2.336 -6.433 -2.454 Sr
0.207 -4.680 -5.561 Sr
-0.869 -3.552 -2.716 Ge
-1.259 -7.561 -5.298 Ge
0.000 0.000 0.000 Na
```

Properties
ΔE to the lowest computed polymorph = 0.2642 eV/atom
Formation energy from the elements = -4.1 kcal/mol of atoms
M_tot = 0.00 Bohr magnetons per cell



Density functional theory data (PBE) for a relaxed NaSrGe2 crystal.

The structure in POSCAR format:
```
NaSrGe2
1.0
4.067 0.000 0.000
0.000 8.984 0.000
0.000 0.000 11.649
Ge Na Sr
8 4 4
Cartesian
3.050 3.078 7.846 Ge
3.050 7.569 9.627 Ge
1.017 6.734 10.882 Ge
1.017 2.242 6.591 Ge
1.017 5.906 3.803 Ge
3.050 2.250 0.767 Ge
1.017 1.414 2.022 Ge
3.050 6.742 5.058 Ge
3.050 0.038 7.098 Na
3.050 4.530 10.375 Na
1.017 8.946 4.551 Na
1.017 4.454 1.274 Na
1.017 5.647 7.405 Sr
1.017 1.155 10.069 Sr
3.050 7.829 1.580 Sr
3.050 3.337 4.244 Sr
```

Properties
ΔE to the lowest computed polymorph = 0.0000 eV/atom
Formation energy from the elements = -9.3 kcal/mol of atoms
M_tot = 0.00 Bohr magnetons per cell



Density functional theory data (PBE) for a relaxed Na3Sr3Ge8 crystal.

The structure in POSCAR format:
```
Na3Sr3Ge8
1.0
4.167 0.000 0.000
2.084 9.397 0.044
2.084 2.601 9.030
Sr Ge Na
3 8 3
Cartesian
4.167 9.398 7.108 Sr
4.167 5.999 4.537 Sr
4.167 2.600 1.966 Sr
6.251 6.891 7.339 Ge
4.167 6.090 0.469 Ge
2.084 5.107 1.735 Ge
2.084 3.060 4.442 Ge
4.167 9.889 3.342 Ge
4.167 2.109 5.732 Ge
4.167 5.908 8.605 Ge
6.251 8.938 4.633 Ge
2.084 3.999 7.181 Na
2.084 7.999 1.893 Na
2.084 0.000 0.000 Na
```

Properties
Formation energy from the elements = -5.7 kcal/mol of atoms
M_tot = 0.00 Bohr magnetons per cell



Density functional theory data (PBE) for a relaxed NaSr2Ge crystal.

The structure in POSCAR format:
```
NaSr2Ge
1.0
4.622 0.000 0.000
2.311 4.003 0.000
2.311 1.334 11.220
Sr Ge Na
2 1 1
Cartesian
2.311 1.334 7.207 Sr
6.934 4.003 4.013 Sr
4.622 2.669 5.610 Ge
0.000 0.000 0.000 Na
```

Properties
Formation energy from the elements = -2.6 kcal/mol of atoms
M_tot = 0.48 Bohr magnetons per cell



Density functional theory data (PBE) for a relaxed NaSrGe2 crystal.

The structure in POSCAR format:
```
NaSrGe2
1.0
0.000 3.712 3.712
3.712 0.000 3.712
3.712 3.712 0.000
Na Sr Ge
1 1 2
Cartesian
0.000 0.000 0.000 Na
3.712 3.712 3.712 Sr
1.856 1.856 1.856 Ge
5.568 5.568 5.568 Ge
```

Properties
ΔE to the lowest computed polymorph = 0.2554 eV/atom
Formation energy from the elements = -3.4 kcal/mol of atoms
M_tot = 0.00 Bohr magnetons per cell



Density functional theory data (PBE) for a relaxed NaSr3Ge crystal.

The structure in POSCAR format:
```
NaSr3Ge
1.0
6.206 0.000 0.000
0.000 6.206 0.000
0.000 0.000 6.206
Sr Na Ge
3 1 1
Cartesian
0.000 3.103 0.000 Sr
0.000 0.000 3.103 Sr
3.103 0.000 0.000 Sr
3.103 3.103 3.103 Na
0.000 0.000 0.000 Ge
```

Properties
ΔE to the lowest computed polymorph = 0.0000 eV/atom
Formation energy from the elements = -5.1 kcal/mol of atoms
M_tot = 0.00 Bohr magnetons per cell



Density functional theory data (PBE) for a relaxed NaSr3Ge crystal.

The structure in POSCAR format:
```
NaSr3Ge
1.0
6.120 0.000 0.000
0.000 6.120 0.000
0.000 0.000 6.120
Ge Sr Na
1 3 1
Cartesian
3.060 3.060 3.060 Ge
3.060 0.000 0.000 Sr
0.000 3.060 0.000 Sr
0.000 0.000 3.060 Sr
0.000 0.000 0.000 Na
```

Properties
ΔE to the lowest computed polymorph = 0.7541 eV/atom
Formation energy from the elements = 12.3 kcal/mol of atoms
M_tot = 0.00 Bohr magnetons per cell



Density functional theory data (PBE) for a relaxed NaSr2Ge crystal.

The structure in POSCAR format:
```
NaSr2Ge
1.0
5.471 0.000 0.000
0.000 5.471 0.000
2.735 2.735 10.606
Sr Na Ge
4 2 2
Cartesian
4.279 1.368 2.652 Sr
1.192 4.103 2.652 Sr
6.839 7.014 7.955 Sr
4.103 3.927 7.955 Sr
2.735 5.471 5.303 Na
2.735 2.735 0.000 Na
5.471 2.735 5.303 Ge
0.000 0.000 0.000 Ge
```

Properties
Formation energy from the elements = 4.1 kcal/mol of atoms
M_tot = 0.00 Bohr magnetons per cell



Density functional theory data (PBE) for a relaxed NaSr2Ge crystal.

The structure in POSCAR format:
```
NaSr2Ge
1.0
5.037 0.000 0.000
-2.518 7.952 0.000
0.000 0.000 8.166
Sr Ge Na
4 2 2
Cartesian
2.518 2.507 0.106 Sr
2.518 2.507 3.977 Sr
0.000 5.445 4.189 Sr
0.000 5.445 8.060 Sr
0.000 3.034 2.041 Ge
2.518 4.918 6.124 Ge
0.000 0.061 2.041 Na
2.518 7.890 6.124 Na
```

Properties
Formation energy from the elements = -5.9 kcal/mol of atoms
M_tot = 1.43 Bohr magnetons per cell



Density functional theory data (PBE) for a relaxed NaSrGe2 crystal.

The structure in POSCAR format:
```
NaSrGe2
1.0
-0.459 -2.663 3.887
-1.670 -5.649 -4.068
12.310 -3.138 -0.698
Ge Na Sr
8 4 4
Cartesian
3.098 -5.554 -1.999 Ge
6.293 -9.632 -1.533 Ge
9.052 -7.298 0.392 Ge
3.889 -1.819 0.654 Ge
1.129 -4.153 -1.271 Ge
8.756 -9.360 -1.056 Ge
1.425 -2.091 0.177 Ge
7.084 -5.896 1.120 Ge
3.808 -8.200 -0.845 Na
10.516 -7.344 -2.349 Na
-0.335 -4.107 1.471 Na
6.373 -3.250 -0.034 Na
9.956 -4.154 -0.230 Sr
3.243 -5.028 1.262 Sr
0.226 -7.296 -0.648 Sr
6.939 -6.423 -2.141 Sr
```

Properties
ΔE to the lowest computed polymorph = 0.0046 eV/atom
Formation energy from the elements = -9.2 kcal/mol of atoms
M_tot = 0.00 Bohr magnetons per cell



Density functional theory data (PBE) for a relaxed NaSr2Zn4Ge3 crystal.

The structure in POSCAR format:
```
NaSr2Zn4Ge3
1.0
4.452 0.000 0.000
0.000 4.452 0.000
0.000 0.000 11.007
Zn Sr Ge Na
4 2 3 1
Cartesian
0.000 0.000 0.000 Zn
0.000 2.226 3.964 Zn
2.226 0.000 7.043 Zn
2.226 2.226 0.000 Zn
0.000 2.226 8.425 Sr
2.226 0.000 2.582 Sr
0.000 2.226 1.440 Ge
2.226 0.000 9.568 Ge
0.000 0.000 5.504 Ge
2.226 2.226 5.504 Na
```

Properties
Formation energy from the elements = -6.6 kcal/mol of atoms
M_tot = 0.00 Bohr magnetons per cell